## Cu4SnS4 (PBE)

Data for crystalline Cu4SnS4 at its relaxed geometry.

Properties
- SG: No. 62
- Raw formation energy: -245 meV/atom
- Magnetic moment: 0.000 μB per formula unit
- E: -0.31935 Ry per atom
- N(E_F): 0.813 states/eV/f.u.

a = 13.573 Å, b = 7.683 Å, c = 6.488 Å
α = 90.00°, β = 90.00°, γ = 90.00°
Element x y z (fractional)
Cu 0.073 0.250 0.100
Cu 0.165 0.250 0.436
Cu 0.166 0.512 0.886
Cu 0.166 0.988 0.886
Cu 0.334 0.012 0.386
Cu 0.334 0.488 0.386
Cu 0.335 0.750 0.936
Cu 0.427 0.750 0.600
Cu 0.573 0.250 0.400
Cu 0.665 0.250 0.064
Cu 0.666 0.512 0.614
Cu 0.666 0.988 0.614
Cu 0.834 0.012 0.114
Cu 0.834 0.488 0.114
Cu 0.835 0.750 0.564
Cu 0.927 0.750 0.900
Sn 0.082 0.750 0.388
Sn 0.418 0.250 0.888
Sn 0.582 0.750 0.112
Sn 0.918 0.250 0.612
S 0.082 0.750 0.773
S 0.092 0.250 0.750
S 0.176 0.003 0.244
S 0.176 0.497 0.244
S 0.324 0.503 0.744
S 0.324 0.997 0.744
S 0.408 0.750 0.250
S 0.418 0.250 0.273
S 0.582 0.750 0.727
S 0.592 0.250 0.750
S 0.676 0.003 0.256
S 0.676 0.497 0.256
S 0.824 0.503 0.756
S 0.824 0.997 0.756
S 0.908 0.750 0.250
S 0.918 0.250 0.227